Entry from Alexandria via LeMat-Bulk: crystalline Rb2TlS at its relaxed geometry (PBE).

Unit cell a=10.894 b=10.894 c=6.395 alpha=90.00 beta=90.00 gamma=90.00
Space group I-42d (No. 122)
Inequivalent atoms, fractional coordinates:
Rb: 0.129 0.250 0.125 [8 per cell]
Tl: 0.000 0.000 0.500 [4 per cell]
S: 0.000 0.000 0.000 [4 per cell]

Computed properties:
Its magnetization is 1.0 μB/f.u. For the excess energy over the best structure of this formula in the dataset, the calculation gives 0 meV/atom. As for the crystal system: tetragonal. As for the formation energy from raw total energies: -383 meV/atom.

Entry from Alexandria via LeMat-Bulk: crystalline Rb3Tl2S4 at its relaxed geometry (PBE).

Unit cell a=14.149 b=11.379 c=7.867 alpha=90.00 beta=92.50 gamma=90.00
Space group C2/c (No. 15)
Inequivalent atoms, fractional coordinates:
Rb: 0.000 0.111 0.250 [4 per cell]
Rb: 0.121 0.368 0.569 [8 per cell]
Tl: 0.200 0.120 0.910 [8 per cell]
S: 0.119 0.322 0.015 [8 per cell]
S: 0.162 0.072 0.582 [8 per cell]

Computed properties:
Its magnetization is 0.0 μB/f.u. As for the crystal system: monoclinic. As for the formation energy from raw total energies: -710 meV/atom.

Entry from Alexandria via LeMat-Bulk: crystalline RbTlS4 at its relaxed geometry (PBE).

Unit cell a=5.244 b=5.359 c=6.979 alpha=83.48 beta=80.32 gamma=80.80
Space group P1 (No. 1)
Inequivalent atoms, fractional coordinates:
Rb: 0.000 0.000 0.000 [1 per cell]
Tl: 0.191 0.391 0.445 [1 per cell]
S: 0.503 0.763 0.623 [1 per cell]
S: 0.522 0.462 0.840 [1 per cell]
S: 0.560 0.586 0.103 [1 per cell]
S: 0.866 0.875 0.530 [1 per cell]

Computed properties:
Its magnetization is 0.0 μB/f.u. As for the crystal system: triclinic. As for the formation energy from raw total energies: -417 meV/atom.

Entry from Alexandria via LeMat-Bulk: crystalline Rb2TlS2 at its relaxed geometry (PBE).

Unit cell a=5.978 b=5.978 c=10.764 alpha=90.00 beta=90.00 gamma=90.00
Space group I4/mmm (No. 139)
Inequivalent atoms, fractional coordinates:
Rb: 0.000 0.000 0.155 [4 per cell]
Tl: 0.000 0.000 0.500 [2 per cell]
S: 0.000 0.500 0.250 [4 per cell]

Computed properties:
Its magnetization is 1.0 μB/f.u. For the excess energy over the best structure of this formula in the dataset, the calculation gives 484 meV/atom. As for the crystal system: tetragonal. As for the formation energy from raw total energies: -282 meV/atom.

Entry from Alexandria via LeMat-Bulk: crystalline RbTl2S2 at its relaxed geometry (PBE).

Unit cell a=8.572 b=8.572 c=3.942 alpha=90.00 beta=90.00 gamma=90.00
Space group P4/mbm (No. 127)
Inequivalent atoms, fractional coordinates:
Rb: 0.000 0.000 0.000 [2 per cell]
Tl: 0.136 0.364 0.500 [4 per cell]
S: 0.154 0.654 0.000 [4 per cell]

Computed properties:
Its magnetization is 0.0 μB/f.u. For the excess energy over the best structure of this formula in the dataset, the calculation gives 175 meV/atom. As for the crystal system: tetragonal. As for the formation energy from raw total energies: -355 meV/atom.

Entry from Alexandria via LeMat-Bulk: crystalline RbU2Tl3S6 at its relaxed geometry (PBE).

Unit cell a=19.629 b=4.102 c=8.972 alpha=90.00 beta=103.58 gamma=90.00
Space group C2/m (No. 12)
Inequivalent atoms, fractional coordinates:
Rb: 0.000 0.000 0.000 [2 per cell]
U: 0.176 0.500 0.342 [4 per cell]
Tl: 0.000 0.000 0.500 [2 per cell]
Tl: 0.164 0.500 0.827 [4 per cell]
S: 0.044 0.500 0.283 [4 per cell]
S: 0.181 0.000 0.552 [4 per cell]
S: 0.183 0.000 0.143 [4 per cell]

Computed properties:
Its magnetization is 4.0 μB/f.u. As for the crystal system: monoclinic. As for the formation energy from raw total energies: -1004 meV/atom.